1.
A relaxed structure of TaTi5Sb4. Source: Alexandria, functional PBE.

Structure (extended XYZ):
```
20
Lattice="8.476 0.000 0.000 0.000 9.653 0.000 0.000 0.000 4.963" Properties=species:S:1:pos:R:3 pbc="T T T"
Ta 2.119 2.413 0.216
Ta 6.357 7.240 4.748
Ti 0.697 4.860 1.239
Ti 0.697 9.619 1.239
Ti 2.119 7.240 1.033
Ti 3.541 4.860 1.239
Ti 3.541 9.619 1.239
Ti 4.935 0.033 3.724
Ti 4.935 4.793 3.724
Ti 6.357 2.413 3.930
Ti 7.779 0.033 3.724
Ti 7.779 4.793 3.724
Sb 0.512 2.413 2.703
Sb 2.119 5.417 3.763
Sb 2.119 9.062 3.763
Sb 3.725 2.413 2.703
Sb 4.750 7.240 2.260
Sb 6.357 0.590 1.200
Sb 6.357 4.236 1.200
Sb 7.963 7.240 2.260
```

The calculation puts the total magnetization at 0.001 μB/atom. Its uncorrected energy is -68.9 eV per formula unit.

---

2.
A relaxed structure of PrIn12Au4. Source: Alexandria, functional PBE.

Structure (extended XYZ):
```
17
Lattice="-4.872 4.872 4.872 4.872 -4.872 4.872 4.872 4.872 -4.872" Properties=species:S:1:pos:R:3 pbc="T T T"
Pr 0.000 0.000 0.000
In 3.357 0.000 1.504
In 6.387 0.000 1.504
In 4.872 3.368 -1.515
In 1.504 3.357 0.000
In 3.368 -1.515 4.872
In 0.000 1.504 3.357
In 4.872 3.368 1.515
In 1.504 6.387 0.000
In 3.368 1.515 4.872
In 0.000 1.504 6.387
In -1.515 4.872 3.368
In 1.515 4.872 3.368
Au 2.436 2.436 -2.436
Au 2.436 -2.436 2.436
Au -2.436 2.436 2.436
Au 2.436 2.436 2.436
```

The calculation puts the total magnetization at 0.000 μB/atom. The calculation puts the formation energy at -121 meV per atom.